Entry from Alexandria: Cs2MnHCl6 after structural relaxation (PBE).

Structure (POSCAR):
```
Cs2MnHCl6
1.0
-3.625 3.625 5.330
3.625 -3.625 5.330
3.625 3.625 -5.330
Cs Mn H Cl
2 1 1 6
Cartesian
3.625 0.000 2.665
0.000 3.625 2.665
0.000 0.000 0.000
0.000 0.000 5.330
0.000 0.000 2.304
1.637 1.637 0.000
1.989 -1.989 5.330
-1.989 1.989 5.330
1.989 1.989 5.330
0.000 0.000 8.356
```

Crystal system: tetragonal
Spin magnetization (μB/f.u.): 4.00
Energy (eV per atom): -3.627
Space group: I4/mmm

=====

Entry from Alexandria: SrLiS2N after structural relaxation (PBE).

Structure (POSCAR):
```
SrLiS2N
1.0
5.680 0.000 0.000
0.000 5.680 0.000
0.000 0.000 4.988
Sr Li S N
1 1 2 1
Cartesian
0.000 0.000 0.000
2.840 2.840 2.494
0.000 2.840 0.000
2.840 0.000 0.000
0.000 0.000 2.494
```

Crystal system: tetragonal
Spin magnetization (μB/f.u.): 4.02
Space group: P4/mmm
Formation energy (no corrections) (eV/atom): 0.45

=====

Entry from Alexandria: Mn2ZnCo2 after structural relaxation (PBE).

Structure (POSCAR):
```
Mn2ZnCo2
1.0
-1.782 1.782 4.856
1.782 -1.782 4.856
1.782 1.782 -4.856
Mn Zn Co
2 1 2
Cartesian
0.000 0.000 0.979
0.000 0.000 8.733
0.000 0.000 4.856
1.782 0.000 2.428
0.000 1.782 2.428
```

Crystal system: tetragonal
Spin magnetization (μB/f.u.): 0.21
Space group: I4/mmm
Energy of formation from the pure elements (eV/f.u.): 1.91

=====

Entry from Alexandria: K2LiNbO4 after structural relaxation (PBE).

Structure (POSCAR):
```
K2LiNbO4
1.0
6.218 0.000 0.000
0.198 8.611 0.000
1.689 0.458 10.679
K Li Nb O
8 4 4 16
Cartesian
0.000 0.000 0.000
1.132 1.648 6.632
3.317 6.235 8.231
3.583 8.574 4.898
3.832 4.065 5.272
3.256 1.777 1.295
5.979 6.815 3.454
7.261 3.861 9.357
1.170 4.370 4.432
5.261 8.263 9.522
6.567 6.403 10.590
5.755 4.266 1.492
2.471 5.666 1.319
4.318 1.868 8.198
6.501 6.407 6.811
6.410 2.174 2.998
1.307 7.713 6.016
0.532 2.442 1.170
0.663 5.657 0.603
1.793 2.112 3.978
2.259 5.601 3.161
3.532 8.944 8.688
3.442 3.481 8.507
3.348 7.236 0.739
3.839 4.453 0.774
4.710 1.803 6.380
4.835 6.426 5.980
5.892 1.581 9.244
5.252 0.702 3.037
6.315 6.692 8.725
5.717 3.894 3.424
7.318 4.748 6.387
```

Crystal system: triclinic
Spin magnetization (μB/f.u.): 0.04
Space group: P1
Formation energy (no corrections) (eV/atom): -2.17

=====

Number 1: V 280.2 Å³/cell. Number 2: V 160.9 Å³/cell. Number 3: V 61.7 Å³/cell. Number 4: V 571.8 Å³/cell.